A plane-wave DFT calculation with GGA-PBE was carried out for a geometry-optimized Tc2HgIr structure.

a b c (Å): 5.036 5.036 5.036
angles (deg): 134.84 134.83 65.79
Sites, in units of the cell vectors:
Hg 0.750 0.250 0.500
Tc 0.500 0.500 0.000
Tc 0.000 0.000 0.000
Ir 0.250 0.750 0.500

Values from the calculation:
As for the energy relative to the elements: 471 meV/atom.